Entry 1:
This record from Alexandria via LeMat-Bulk describes a PBEsol-optimized structure of MnB4W3. The functional is SCAN. Values from VASP.

Calculated values
- Electronic total energy: -260.04 eV/f.u.
- Space-group type: Pmm2

Cell and atoms, written as Quantum ESPRESSO input:
```
&SYSTEM
  ibrav = 0, nat = 8, ntyp = 3
/
ATOMIC_SPECIES
B 10.81 B.upf
W 183.84 W.upf
Mn 54.94 Mn.upf
ATOMIC_POSITIONS angstrom
B 0.0000 0.0000 3.5209
B 0.0000 1.5604 7.8278
B 1.5262 1.5604 0.5959
B 1.5262 0.0000 4.5845
W 0.0000 1.5604 5.3223
W 1.5262 1.5604 2.8637
W 1.5262 0.0000 7.0811
Mn 0.0000 0.0000 1.1263
CELL_PARAMETERS angstrom
3.0525 0.0000 0.0000
0.0000 3.1209 0.0000
0.0000 0.0000 8.2306
```

***

Entry 2:
This record from Alexandria via LeMat-Bulk describes a PBEsol-optimized structure of Zn2AgPt. The functional is SCAN. Values from VASP.

Calculated values
- Electronic total energy: -129.92 eV/f.u.
- Space-group type: P4/mmm

Cell and atoms, written as Quantum ESPRESSO input:
```
&SYSTEM
  ibrav = 0, nat = 4, ntyp = 3
/
ATOMIC_SPECIES
Zn 65.41 Zn.upf
Ag 107.87 Ag.upf
Pt 195.08 Pt.upf
ATOMIC_POSITIONS angstrom
Zn 0.0406 3.1938 4.3231
Zn 0.0145 1.1375 1.5397
Ag -1.4098 -1.1326 0.8500
Pt -1.3823 1.0330 3.7814
CELL_PARAMETERS angstrom
-2.8258 0.0077 0.0208
0.0062 -2.2729 1.6791
0.0550 4.3313 5.8628
```

***

Entry 3:
This record from Alexandria via LeMat-Bulk describes a PBEsol-optimized structure of POs2W. The functional is SCAN. Values from VASP.

Calculated values
- Electronic total energy: -224.09 eV/f.u.
- Space-group type: P4/mmm

Cell and atoms, written as Quantum ESPRESSO input:
```
&SYSTEM
  ibrav = 0, nat = 4, ntyp = 3
/
ATOMIC_SPECIES
Os 190.23 Os.upf
P 30.97 P.upf
W 183.84 W.upf
ATOMIC_POSITIONS angstrom
Os 0.0000 0.0000 5.2937
Os 0.0000 0.0000 1.4545
P 1.4186 1.4186 0.0000
W 1.4186 1.4186 3.3741
CELL_PARAMETERS angstrom
2.8372 0.0000 0.0000
0.0000 2.8372 0.0000
0.0000 0.0000 6.7482
```

***

Entry 4:
This record from Alexandria via LeMat-Bulk describes a PBEsol-optimized structure of SiHg2Sb. The functional is SCAN. Values from VASP.

Calculated values
- Electronic total energy: -182.19 eV/f.u.
- Space-group type: R-3m
- Uncorrected formation energy: 354 meV per atom

Cell and atoms, written as Quantum ESPRESSO input:
```
&SYSTEM
  ibrav = 0, nat = 4, ntyp = 3
/
ATOMIC_SPECIES
Hg 200.59 Hg.upf
Sb 121.76 Sb.upf
Si 28.09 Si.upf
ATOMIC_POSITIONS angstrom
Hg -0.0104 1.1315 2.4660
Hg 0.5669 3.2609 8.0774
Sb 0.2782 2.1962 5.2717
Si 0.0000 0.0000 0.0000
CELL_PARAMETERS angstrom
-0.6027 3.4639 1.2126
-2.6819 0.6578 2.4913
3.8411 0.2707 6.8395
```